## Mg3V2Bi2O12 (PBE with a Hubbard U)

Data for crystalline Mg3V2Bi2O12 at its relaxed geometry.

Summary:
- energy (Ry per atom) = -0.4663
- DOS at the Fermi energy (states/eV per cell) = 8.8

a b c (Å): 5.5514 7.7948 7.3317
angles (deg): 119.29 90.00 90.00
Last column: nearest neighbours and their distance in Å.
Sites, in units of the cell vectors:
Mg 0.7500 0.1104 0.2751  5 O 2.00-2.13
Mg 0.2500 0.8836 0.7185  5 O 1.99-2.06
Mg 0.2500 0.3039 0.0773  5 O 2.09-2.10
Bi 0.2500 0.4090 0.5935  4 O 2.21-2.33
Bi 0.7500 0.5729 0.4123  5 O 2.18-2.40
O 0.7500 0.2299 0.5956  1 V 1.74
O 0.2500 0.7811 0.4115  1 V 1.73
O 0.2500 0.5170 0.9834  1 V 1.80
O 0.7500 0.4632 0.0437  1 V 1.73
O 0.0052 0.9029 0.1592  1 V 1.72
O 0.4904 0.1092 0.8518  1 V 1.75
O 0.0096 0.1092 0.8518  1 V 1.75
O 0.4948 0.9029 0.1592  1 V 1.72
O 0.4968 0.3281 0.3059  2 Mg 2.10-2.13, 2 Bi 2.18-2.33
O 0.0121 0.6641 0.6769  1 Mg 2.06, 2 Bi 2.21-2.24
O 0.0032 0.3281 0.3059  2 Mg 2.10-2.13, 2 Bi 2.18-2.33
O 0.4879 0.6641 0.6769  1 Mg 2.06, 2 Bi 2.21-2.24
V 0.7500 0.2272 0.8315  4 O 1.73-1.75
V 0.2500 0.7746 0.1728  4 O 1.72-1.80